P | Na3ScGa: optimized geometry, GGA-PBE.

Computed properties:
As for the symmetry: No. 221. As for the magnetic moment: 0.1128 μB per atom. The calculation puts the density of states at the Fermi level at 4.860 states/eV/cell.

Geometry as extended XYZ:
```
5
Lattice="-5.052 -0.451 2.111 0.195 -5.446 -0.697 2.150 -0.566 5.024" Properties=species:S:1:pos:R:3 pbc="T T T"
Na 1.075 -0.283 2.512
Na -2.526 -0.225 1.055
Na 0.097 -2.723 -0.349
Sc -1.354 -3.232 3.219
Ga 0.000 0.000 0.000
```

---

Q | Na3ScGa: optimized geometry, GGA-PBE.

Computed properties:
As for the symmetry: No. 221. As for the magnetic moment: 0.2897 μB per atom. The calculation puts the density of states at the Fermi level at 8.700 states/eV/cell.

Geometry as extended XYZ:
```
5
Lattice="-1.046 -0.185 -6.016 2.178 -5.704 -0.203 -5.611 -2.180 1.042" Properties=species:S:1:pos:R:3 pbc="T T T"
Ga -2.239 -4.034 -2.588
Na -0.523 -0.093 -3.008
Na -2.805 -1.090 0.521
Na 1.089 -2.852 -0.101
Sc 0.000 0.000 0.000
```

---

Short version: P, Q, most stable first.

---

P | NaSc2Ga: optimized geometry, GGA-PBE.

Computed properties:
As for the symmetry: No. 166. As for the magnetic moment: 0.0000 μB per atom. The calculation puts the density of states at the Fermi level at 5.374 states/eV/cell.

Geometry as extended XYZ:
```
4
Lattice="3.252 2.301 11.177 6.000 3.063 9.768 3.678 5.225 9.998" Properties=species:S:1:pos:R:3 pbc="T T T"
Sc 1.039 0.851 2.487
Sc 11.890 9.737 28.456
Ga 0.000 0.000 0.000
Na 6.465 5.294 15.471
```

---

Q | NaSc2Ga: optimized geometry, GGA-PBE.

Computed properties:
As for the symmetry: No. 122. As for the magnetic moment: 0.0339 μB per atom. The calculation puts the density of states at the Fermi level at 8.097 states/eV/cell.

Geometry as extended XYZ:
```
8
Lattice="-2.388 1.667 3.159 -3.402 -2.219 -1.400 -0.230 -8.305 7.130" Properties=species:S:1:pos:R:3 pbc="T T T"
Ga 0.000 0.000 0.000
Ga -2.756 -3.457 5.584
Sc -2.032 -1.272 3.657
Sc -5.320 -6.765 6.853
Sc -2.425 -3.295 1.227
Sc -2.262 -6.383 6.040
Na -2.895 -0.276 0.879
Na -3.263 -5.400 3.304
```

---

Short version: P, Q, most stable first.

---

P | Na2ScGa2: optimized geometry, GGA-PBE.

Computed properties:
As for the symmetry: No. 127. As for the magnetic moment: 0.0658 μB per atom. The calculation puts the density of states at the Fermi level at 6.957 states/eV/cell.

Geometry as extended XYZ:
```
10
Lattice="8.464 0.000 0.000 0.000 8.464 0.000 0.000 0.000 3.040" Properties=species:S:1:pos:R:3 pbc="T T T"
Ga 1.569 5.801 1.520
Ga 2.663 1.569 1.520
Ga 6.895 2.663 1.520
Ga 5.801 6.895 1.520
Na 0.985 3.246 0.000
Na 3.246 7.478 0.000
Na 5.217 0.985 0.000
Na 7.478 5.217 0.000
Sc 4.232 4.232 0.000
Sc 0.000 0.000 0.000
```

---

Q | Na2ScGa2: optimized geometry, GGA-PBE.

Computed properties:
As for the symmetry: No. 139. As for the magnetic moment: 0.0000 μB per atom. The calculation puts the density of states at the Fermi level at 3.578 states/eV/cell.

Geometry as extended XYZ:
```
5
Lattice="-1.909 3.250 -3.375 -0.742 -3.808 -3.247 -5.435 -0.928 -1.611" Properties=species:S:1:pos:R:3 pbc="T T T"
Ga -4.335 1.022 -4.149
Ga -3.751 -2.507 -4.085
Na -2.417 -0.451 -2.860
Na -5.669 -1.035 -5.374
Sc 0.000 0.000 0.000
```

---

R | Na2ScGa2: optimized geometry, GGA-PBE.

Computed properties:
As for the symmetry: No. 127. As for the magnetic moment: 0.1105 μB per atom. The calculation puts the density of states at the Fermi level at 8.649 states/eV/cell.

Geometry as extended XYZ:
```
10
Lattice="-1.804 6.866 -0.900 -4.493 -0.453 5.551 3.623 1.350 3.042" Properties=species:S:1:pos:R:3 pbc="T T T"
Sc -3.148 3.207 2.326
Sc 0.000 0.000 0.000
Ga -4.391 5.713 2.693
Ga -1.699 4.245 0.139
Ga -1.906 0.700 1.959
Ga -4.597 2.168 4.512
Na -3.123 4.910 5.517
Na -1.160 6.216 2.600
Na 0.449 2.854 2.177
Na -1.514 1.548 5.094
```

---

Short version: R, P, Q, most stable first.

---

P | NaSc2Ga2: optimized geometry, GGA-PBE.

Computed properties:
As for the symmetry: No. 127. As for the magnetic moment: 0.0000 μB per atom. The calculation puts the density of states at the Fermi level at 5.217 states/eV/cell.

Geometry as extended XYZ:
```
10
Lattice="8.441 0.000 0.000 0.000 8.441 0.000 0.000 0.000 3.047" Properties=species:S:1:pos:R:3 pbc="T T T"
Ga 5.685 6.977 1.524
Ga 1.464 5.685 1.524
Ga 2.756 1.464 1.524
Ga 6.977 2.756 1.524
Na 4.220 4.220 0.000
Na 0.000 0.000 0.000
Sc 1.065 3.155 0.000
Sc 5.286 1.065 0.000
Sc 7.376 5.286 0.000
Sc 3.155 7.376 0.000
```

---

Q | NaSc2Ga2: optimized geometry, GGA-PBE.

Computed properties:
As for the symmetry: No. 127. As for the magnetic moment: 0.0848 μB per atom. The calculation puts the density of states at the Fermi level at 7.843 states/eV/cell.

Geometry as extended XYZ:
```
10
Lattice="7.998 0.000 0.000 0.000 7.998 0.000 0.000 0.000 3.323" Properties=species:S:1:pos:R:3 pbc="T T T"
Ga 4.964 0.965 0.000
Ga 3.034 7.033 0.000
Ga 7.033 4.964 0.000
Ga 0.965 3.034 0.000
Na 0.000 0.000 0.000
Na 3.999 3.999 0.000
Sc 5.396 6.600 1.661
Sc 6.600 2.601 1.661
Sc 1.398 5.396 1.661
Sc 2.601 1.398 1.661
```

---

Short version: Q, P, most stable first.

---

P | NaGa2Se4: optimized geometry, GGA-PBE.

Computed properties:
As for the symmetry: No. 97. As for the magnetic moment: 0.0000 μB per atom. The calculation puts the density of states at the Fermi level at 4.956 states/eV/cell.

Geometry as extended XYZ:
```
7
Lattice="0.577 -6.107 -1.945 5.428 -2.153 -2.274 1.796 -4.490 3.986" Properties=species:S:1:pos:R:3 pbc="T T T"
Se 5.806 -7.594 -1.049
Se 4.273 -5.340 2.068
Se 2.285 -8.210 -0.157
Se 3.240 -4.356 -1.329
Ga 3.901 -6.375 -0.117
Ga 3.612 -3.322 0.856
Na 0.000 0.000 0.000
```

---

Q | NaGa2Se4: optimized geometry, GGA-PBE.

Computed properties:
As for the symmetry: No. 111. As for the magnetic moment: 0.0001 μB per atom. The calculation puts the density of states at the Fermi level at 4.289 states/eV/cell.

Geometry as extended XYZ:
```
7
Lattice="5.310 0.000 0.000 0.000 5.310 0.000 0.000 0.000 7.381" Properties=species:S:1:pos:R:3 pbc="T T T"
Na 0.000 0.000 0.000
Ga 0.000 2.655 3.691
Ga 2.655 0.000 3.691
Se 3.913 3.913 2.150
Se 1.398 3.913 5.231
Se 3.913 1.398 5.231
Se 1.398 1.398 2.150
```

---

Short version: Q, P, most stable first.

---

P | NaGa3Se: optimized geometry, GGA-PBE.

Computed properties:
As for the symmetry: No. 221. As for the magnetic moment: 0.0000 μB per atom. The calculation puts the density of states at the Fermi level at 1.242 states/eV/cell.

Geometry as extended XYZ:
```
5
Lattice="5.238 0.000 0.000 0.000 5.238 0.000 0.000 0.000 5.238" Properties=species:S:1:pos:R:3 pbc="T T T"
Ga 2.619 0.000 0.000
Ga 0.000 2.619 0.000
Ga 0.000 0.000 2.619
Se 2.619 2.619 2.619
Na 0.000 0.000 0.000
```

---

Q | NaGa3Se: optimized geometry, GGA-PBE.

Computed properties:
As for the symmetry: No. 221. As for the magnetic moment: 0.0000 μB per atom. The calculation puts the density of states at the Fermi level at 3.146 states/eV/cell.

Geometry as extended XYZ:
```
5
Lattice="-2.515 0.437 4.745 -0.735 -5.337 0.101 4.708 -0.600 2.550" Properties=species:S:1:pos:R:3 pbc="T T T"
Se 0.000 0.000 0.000
Ga 2.354 -0.300 1.275
Ga -1.257 0.218 2.373
Ga -0.368 -2.668 0.051
Na 0.729 -2.750 3.698
```

---

Short version: Q, P, most stable first.